1.
Material: TaAsSe2I
Method: DFT, PBE
State: relaxed

crystal system: tetragonal
E above lowest polymorph: 1623.2 meV/atom
DOS at the Fermi energy: 0.998 states/eV per atom
E_form (uncorrected): 1.671 eV per atom

Lattice parameters (Å, degrees): 5.2024 5.2024 5.3293 90.00 90.00 90.00
With the nearest neighbours (Å) after each atom.
Fractional positions:
Ta  0.0000  0.0000  0.0000  4 As 3.68, 8 Se 3.72
As  0.5000  0.5000  0.0000  2 I 2.66
Se  0.0000  0.5000  0.5000  2 I 2.60
Se  0.5000  0.0000  0.5000  2 I 2.60
I  0.5000  0.5000  0.5000  4 Se 2.60, 2 As 2.66



2.
Material: Ta2VGaCu
Method: DFT, PBE
State: relaxed

crystal system: tetragonal
DOS at the Fermi energy: 1.154 states/eV per atom
ΔH_f (0 K): 1.24 eV per atom

Lattice parameters (Å, degrees): 4.7619 4.7619 4.1864 90.00 90.00 90.00
With the nearest neighbours (Å) after each atom.
Fractional positions:
Ta  0.0000  0.5000  0.0000  2 Ga 2.38
Ta  0.5000  0.0000  0.0000  2 Ga 2.38
V  0.0000  0.0000  0.5000  8 Ta 3.17, 4 Cu 3.37
Ga  0.5000  0.5000  0.0000  2 Cu 2.09
Cu  0.5000  0.5000  0.5000  2 Ga 2.09



3.
Material: Ac3ThPt3
Method: DFT, PBE
State: relaxed

crystal system: monoclinic
DOS at the Fermi energy: 0.686 states/eV per atom
ΔH_f (0 K): -1.03 eV per atom

Lattice parameters (Å, degrees): 8.5907 4.3331 12.2190 90.00 91.31 90.00
With the nearest neighbours (Å) after each atom.
Fractional positions:
Ac  0.1126  0.2500  0.1271  4 Pt 3.03-3.12
Ac  0.3703  0.7500  0.3798  5 Pt 3.04-3.14
Ac  0.3755  0.7500  0.8732  3 Pt 2.99-3.00
Ac  0.6245  0.2500  0.1268  3 Pt 2.99-3.00
Ac  0.6297  0.2500  0.6202  5 Pt 3.04-3.14
Ac  0.8874  0.7500  0.8729  4 Pt 3.03-3.12
Th  0.1275  0.2500  0.6271  6 Pt 2.97-3.00
Th  0.8725  0.7500  0.3729  6 Pt 2.97-3.00
Pt  0.1090  0.2500  0.3817  3 Th 2.97-3.00, 3 Ac 3.11-3.12
Pt  0.1335  0.2500  0.8726  1 Th 3.00, 5 Ac 3.00-3.12
Pt  0.3664  0.7500  0.6284  2 Th 2.98, 4 Ac 2.99-3.14
Pt  0.6336  0.2500  0.3716  2 Th 2.98, 4 Ac 2.99-3.14
Pt  0.8665  0.7500  0.1274  1 Th 3.00, 5 Ac 3.00-3.12
Pt  0.8910  0.7500  0.6183  3 Th 2.97-3.00, 3 Ac 3.11-3.12



4.
Material: Rb2CuRhI6
Method: DFT, PBE
State: relaxed

crystal system: cubic
DOS at the Fermi energy: 0.416 states/eV per atom
E_form (uncorrected): -0.614 eV per atom

Lattice parameters (Å, degrees): 7.9446 7.9446 7.9446 60.00 60.00 60.00
With the nearest neighbours (Å) after each atom.
Fractional positions:
Rb  0.2500  0.2500  0.2500  12 I 3.97
Rb  0.7500  0.7500  0.7500  12 I 3.97
Cu  0.0000  0.0000  0.0000  6 I 2.86
Rh  0.5000  0.5000  0.5000  6 I 2.75
I  0.2548  0.2548  0.7452  1 Rh 2.75, 1 Cu 2.86
I  0.2548  0.7452  0.2548  1 Rh 2.75, 1 Cu 2.86
I  0.2548  0.7452  0.7452  1 Rh 2.75, 1 Cu 2.86
I  0.7452  0.2548  0.2548  1 Rh 2.75, 1 Cu 2.86
I  0.7452  0.2548  0.7452  1 Rh 2.75, 1 Cu 2.86
I  0.7452  0.7452  0.2548  1 Rh 2.75, 1 Cu 2.86



5.
Material: CeGaCoSi
Method: DFT, PBE
State: relaxed

crystal system: trigonal
DOS at the Fermi energy: 1.158 states/eV per atom
E_form (uncorrected): -0.581 eV per atom

Lattice parameters (Å, degrees): 5.6917 5.6917 5.6917 41.03 41.03 41.03
With the nearest neighbours (Å) after each atom.
Fractional positions:
Ce  0.0000  0.0000  0.0000  4 Si 2.99-3.29, 4 Ga 3.02-3.25, 3 Co 3.28
Ga  0.7919  0.7919  0.7919  3 Co 2.48, 3 Si 2.66
Co  0.5175  0.5175  0.5175  3 Si 2.34, 3 Ga 2.48
Si  0.2109  0.2109  0.2109  3 Co 2.34



6.
Material: Cu2As2O7
Method: DFT, PBE
State: relaxed

crystal system: monoclinic
E above lowest polymorph: 0.0 meV/atom
DOS at the Fermi energy: 0.203 states/eV per atom
E_form (uncorrected): -0.910 eV per atom

Lattice parameters (Å, degrees): 5.6413 5.6413 9.9572 104.60 104.60 95.20
With the nearest neighbours (Å) after each atom.
Fractional positions:
Cu  0.1375  0.2715  0.4887  4 O 1.92-2.01
Cu  0.2715  0.1375  0.9887  4 O 1.92-2.01
Cu  0.7285  0.8625  0.0113  4 O 1.92-2.01
Cu  0.8625  0.7285  0.5113  4 O 1.92-2.01
As  0.0292  0.5009  0.2064  4 O 1.69-1.79
As  0.4991  0.9708  0.2936  4 O 1.69-1.79
As  0.5009  0.0292  0.7064  4 O 1.69-1.79
As  0.9708  0.4991  0.7936  4 O 1.69-1.79
O  0.0194  0.5178  0.6306  1 As 1.74
O  0.0426  0.2106  0.1047  1 As 1.71
O  0.2007  0.3734  0.8808  1 As 1.69
O  0.2106  0.0426  0.6047  1 As 1.71
O  0.3390  0.6610  0.2500  2 As 1.79
O  0.3734  0.2007  0.3808  1 As 1.69
O  0.4822  0.9806  0.8694  1 As 1.74
O  0.5178  0.0194  0.1306  1 As 1.74
O  0.6266  0.7993  0.6192  1 As 1.69
O  0.6610  0.3390  0.7500  2 As 1.79
O  0.7894  0.9574  0.3953  1 As 1.71
O  0.7993  0.6266  0.1192  1 As 1.69
O  0.9574  0.7894  0.8953  1 As 1.71
O  0.9806  0.4822  0.3694  1 As 1.74



7.
Material: PrCd2Hg4
Method: DFT, PBE
State: relaxed

crystal system: monoclinic
E above lowest polymorph: 49.5 meV/atom
DOS at the Fermi energy: 0.471 states/eV per atom
ΔH_f (0 K): -0.17 eV per atom

Lattice parameters (Å, degrees): 6.0911 6.0911 5.8317 116.96 116.96 75.28
With the nearest neighbours (Å) after each atom.
Fractional positions:
Pr  0.0000  0.0000  0.0000  12 Hg 3.30-3.66
Cd  0.4955  0.4955  0.2407  2 Cd 2.86-2.98, 6 Hg 3.04-3.17
Cd  0.5045  0.5045  0.7593  2 Cd 2.86-2.98, 6 Hg 3.04-3.17
Hg  0.0066  0.6062  0.3076  4 Hg 2.98-3.18, 4 Cd 3.04-3.20, 1 Pr 3.30
Hg  0.3938  0.9934  0.6924  4 Hg 2.98-3.18, 4 Cd 3.04-3.20, 1 Pr 3.30
Hg  0.6062  0.0066  0.3076  4 Hg 2.98-3.18, 4 Cd 3.04-3.20, 1 Pr 3.30
Hg  0.9934  0.3938  0.6924  4 Hg 2.98-3.18, 4 Cd 3.04-3.20, 1 Pr 3.30



8.
Material: ErSi2Ni6
Method: DFT, PBE
State: relaxed

crystal system: tetragonal
DOS at the Fermi energy: 1.365 states/eV per atom
E_form (uncorrected): -0.432 eV per atom

Lattice parameters (Å, degrees): 3.9023 3.9023 7.7219 90.00 90.00 90.00
With the nearest neighbours (Å) after each atom.
Fractional positions:
Er  0.0000  0.0000  0.0000  8 Si 3.02, 8 Ni 3.05
Si  0.5000  0.5000  0.1574  4 Ni 2.25, 1 Si 2.43
Si  0.5000  0.5000  0.8426  4 Ni 2.25, 1 Si 2.43
Ni  0.0000  0.0000  0.5000  12 Ni 2.47-2.76
Ni  0.0000  0.5000  0.3032  2 Si 2.25, 4 Ni 2.47
Ni  0.0000  0.5000  0.6968  2 Si 2.25, 4 Ni 2.47
Ni  0.5000  0.0000  0.3032  2 Si 2.25, 4 Ni 2.47
Ni  0.5000  0.0000  0.6968  2 Si 2.25, 4 Ni 2.47
Ni  0.5000  0.5000  0.5000  12 Ni 2.47-2.76, 2 Si 2.65



9.
Material: Tb2ZnSb
Method: DFT, PBE
State: relaxed

crystal system: tetragonal
E above lowest polymorph: 0.0 meV/atom
DOS at the Fermi energy: 0.733 states/eV per atom
E_form (uncorrected): -0.610 eV per atom

Lattice parameters (Å, degrees): 3.8686 3.8686 6.7169 90.00 90.00 90.00
With the nearest neighbours (Å) after each atom.
Fractional positions:
Tb  0.0000  0.0000  0.2474  4 Zn 3.20, 4 Sb 3.22, 2 Tb 3.32-3.39
Tb  0.0000  0.0000  0.7526  4 Zn 3.20, 4 Sb 3.22, 2 Tb 3.32-3.39
Zn  0.5000  0.5000  0.0000  8 Tb 3.20, 2 Sb 3.36
Sb  0.5000  0.5000  0.5000  8 Tb 3.22, 2 Zn 3.36



10.
Material: La6SmPd3
Method: DFT, PBE
State: relaxed

crystal system: orthorhombic
DOS at the Fermi energy: 1.216 states/eV per atom
ΔH_f (0 K): -0.45 eV per atom

Lattice parameters (Å, degrees): 9.1245 9.1245 7.5394 90.00 90.00 98.05
With the nearest neighbours (Å) after each atom.
Fractional positions:
La  0.0296  0.4198  0.6687  2 Pd 3.11-3.31
La  0.0394  0.9606  0.5000  4 Pd 3.20-3.30
La  0.2289  0.7711  0.8548  3 Pd 2.93-2.95
La  0.2881  0.3759  0.0169  4 Pd 2.88-3.04
La  0.3759  0.2881  0.5169  4 Pd 2.88-3.04
La  0.4198  0.0296  0.1687  2 Pd 3.11-3.31
La  0.5802  0.9704  0.6687  2 Pd 3.11-3.31
La  0.6241  0.7119  0.0169  4 Pd 2.88-3.04
La  0.7119  0.6241  0.5169  4 Pd 2.88-3.04
La  0.7711  0.2289  0.3548  3 Pd 2.93-2.95
La  0.9606  0.0394  0.0000  4 Pd 3.20-3.30
La  0.9704  0.5802  0.1687  2 Pd 3.11-3.31
Sm  0.3255  0.6745  0.3846  1 Pd 2.89
Sm  0.6745  0.3255  0.8846  1 Pd 2.89
Pd  0.0956  0.2766  0.3086  5 La 2.88-3.20
Pd  0.2766  0.0956  0.8086  5 La 2.88-3.20
Pd  0.4282  0.5718  0.7189  1 Sm 2.89, 5 La 2.93-3.04
Pd  0.5718  0.4282  0.2189  1 Sm 2.89, 5 La 2.93-3.04
Pd  0.7234  0.9044  0.3086  5 La 2.88-3.20
Pd  0.9044  0.7234  0.8086  5 La 2.88-3.20



11.
Material: TiGaCoPd
Method: DFT, PBE
State: relaxed

crystal system: tetragonal
DOS at the Fermi energy: 0.326 states/eV per atom
ΔH_f (0 K): -0.53 eV per atom

Lattice parameters (Å, degrees): 4.5289 4.5289 4.5289 128.66 128.66 75.55
With the nearest neighbours (Å) after each atom.
Fractional positions:
Ti  0.0000  0.0000  0.0000  4 Pd 2.66, 4 Co 2.66, 4 Ga 2.77
Ga  0.5000  0.5000  0.0000  4 Pd 2.66, 4 Co 2.66, 4 Ti 2.77
Co  0.2500  0.7500  0.5000  4 Ti 2.66, 4 Ga 2.66, 4 Pd 2.77
Pd  0.7500  0.2500  0.5000  4 Ti 2.66, 4 Ga 2.66, 4 Co 2.77



12.
Material: KLiCaCl4
Method: DFT, PBE
State: relaxed

crystal system: monoclinic
DOS at the Fermi energy: 0.000 states/eV per atom
E_form (uncorrected): -2.079 eV per atom

Lattice parameters (Å, degrees): 6.7430 6.9664 8.5798 90.00 108.43 90.00
With the nearest neighbours (Å) after each atom.
Fractional positions:
K  0.2435  0.2500  0.4428  2 Cl 3.02-3.07
K  0.7565  0.7500  0.5572  2 Cl 3.02-3.07
Li  0.2538  0.7500  0.1756  4 Cl 2.29-2.36
Li  0.7462  0.2500  0.8244  4 Cl 2.29-2.36
Ca  0.2884  0.2500  0.9499  6 Cl 2.72-2.85
Ca  0.7116  0.7500  0.0501  6 Cl 2.72-2.85
Cl  0.0247  0.7500  0.9130  1 Li 2.29
Cl  0.0433  0.7500  0.3409  1 Li 2.30
Cl  0.4973  0.0016  0.7899  1 Li 2.36
Cl  0.4973  0.4984  0.7899  1 Li 2.36
Cl  0.5027  0.5016  0.2101  1 Li 2.36
Cl  0.5027  0.9984  0.2101  1 Li 2.36
Cl  0.9567  0.2500  0.6591  1 Li 2.30
Cl  0.9753  0.2500  0.0870  1 Li 2.29



Repeat the second record exactly.
Material: Ta2VGaCu
Method: DFT, PBE
State: relaxed

crystal system: tetragonal
DOS at the Fermi energy: 1.154 states/eV per atom
ΔH_f (0 K): 1.24 eV per atom

Lattice parameters (Å, degrees): 4.7619 4.7619 4.1864 90.00 90.00 90.00
With the nearest neighbours (Å) after each atom.
Fractional positions:
Ta  0.0000  0.5000  0.0000  2 Ga 2.38
Ta  0.5000  0.0000  0.0000  2 Ga 2.38
V  0.0000  0.0000  0.5000  8 Ta 3.17, 4 Cu 3.37
Ga  0.5000  0.5000  0.0000  2 Cu 2.09
Cu  0.5000  0.5000  0.5000  2 Ga 2.09



> Which value of DOS at the Fermi energy does entry 8 give?

1.365 states/eV per atom



> Which formula does entry 9 have?

Tb2ZnSb



> The highest DOS at the Fermi energy belongs to which entry?

ErSi2Ni6